1.
4
Lattice="0.0000 2.8479 2.8479 2.8479 0.0000 2.8479 2.8479 2.8479 0.0000" Properties=species:S:1:pos:R:3 comment="PC2Cl PBE-GGA optimized geometry" de_polymorph_ev_per_atom=1.368 pbc="T T T"
Cl 2.8479 2.8479 2.8479
C 4.2719 4.2719 4.2719
C 1.4240 1.4240 1.4240
P 0.0000 0.0000 0.0000

=====

2.
8
Lattice="-3.2111 2.0068 2.3151 -5.2023 -4.9636 -2.9130 -0.4889 -6.1665 4.6671" Properties=species:S:1:pos:R:3 comment="NaNd2YTe4 PBE-GGA optimized geometry" final_energy_ev_per_atom=-5.098 pbc="T T T"
Te -5.5789 -4.2370 0.1889
Te -3.3234 -4.8863 3.8803
Te -4.2340 -8.3108 1.3315
Te -4.6683 -0.8124 2.7377
Na -4.2067 -1.4784 -0.2989
Y -2.8456 -5.5650 0.8771
Nd -0.4889 -6.1665 4.6671
Nd -1.8500 -2.0798 3.4911

=====

| no. | size of the total moment (μB per formula unit) | calculated volume (Å³/atom) |
| --- | --- | --- |
| 1 | 0.00 | 11.549 |
| 2 | 0.00 | 31.537 |